No. 1
# PBE KLaZr2In, relaxed
# V in A^3/atom: 38.1
# Calculated total energy in eV per atom: -4.2951
data_KLaZr2In
_chemical_formula_sum 'K1 La1 Zr2 In1'
_cell_length_a 5.575
_cell_length_b 5.575
_cell_length_c 6.124
_cell_angle_alpha 90.00
_cell_angle_beta 90.00
_cell_angle_gamma 90.00
_space_group_name_H-M_alt 'P 4/m m m'
_space_group_IT_number 123
_space_group_name_Hall '-P 4 2'
loop_
_atom_site_label
_atom_site_type_symbol
_atom_site_fract_x
_atom_site_fract_y
_atom_site_fract_z
K1 K 0.000 0.000 0.000
La1 La 0.500 0.500 0.000
Zr1 Zr 0.000 0.500 0.500
In1 In 0.500 0.500 0.500

No. 2
# PBE K2LiIn, relaxed
# V in A^3/atom: 40.4
# Calculated total energy in eV per atom: -1.5410
data_K2LiIn
_chemical_formula_sum 'K6 Li3 In3'
_cell_length_a 3.9054
_cell_length_b 3.9054
_cell_length_c 36.6733
_cell_angle_alpha 90.00
_cell_angle_beta 90.00
_cell_angle_gamma 120.00
_space_group_name_H-M_alt 'R -3 m'
_space_group_IT_number 166
_space_group_name_Hall '-R 3 2"'
loop_
_atom_site_label
_atom_site_type_symbol
_atom_site_fract_x
_atom_site_fract_y
_atom_site_fract_z
K1 K 0.0000 0.0000 0.2476
Li1 Li 0.0000 0.0000 0.0000
In1 In 0.0000 0.0000 0.5000

No. 3
# PBE KLiIn, relaxed
# V in A^3/atom: 36.5
# Calculated total energy in eV per atom: -2.0415
# Relative energy among the computed polymorphs in meV/atom: 13
data_KLiIn
_chemical_formula_sum 'K4 Li4 In4'
_cell_length_a 8.320
_cell_length_b 4.816
_cell_length_c 11.276
_cell_angle_alpha 90.00
_cell_angle_beta 104.24
_cell_angle_gamma 90.00
_space_group_name_H-M_alt 'C 1 m 1'
_space_group_IT_number 8
_space_group_name_Hall 'C -2y'
loop_
_atom_site_label
_atom_site_type_symbol
_atom_site_fract_x
_atom_site_fract_y
_atom_site_fract_z
K1 K 0.000 0.000 0.000
K2 K 0.044 0.500 0.645
Li1 Li 0.314 0.500 0.453
Li2 Li 0.430 0.000 0.296
In1 In 0.118 0.000 0.361
In2 In 0.234 0.500 0.207

No. 4
# PBE KLiIn2, relaxed
# V in A^3/atom: 26.9
# Calculated total energy in eV per atom: -2.1976
# Relative energy among the computed polymorphs in meV/atom: 95
data_KLiIn2
_chemical_formula_sum 'K2 Li2 In4'
_cell_length_a 5.335
_cell_length_b 5.335
_cell_length_c 7.568
_cell_angle_alpha 90.00
_cell_angle_beta 90.00
_cell_angle_gamma 90.00
_space_group_name_H-M_alt 'I -4 m 2'
_space_group_IT_number 119
_space_group_name_Hall 'I -4 -2'
loop_
_atom_site_label
_atom_site_type_symbol
_atom_site_fract_x
_atom_site_fract_y
_atom_site_fract_z
K1 K 0.000 0.000 0.000
Li1 Li 0.000 0.500 0.750
In1 In 0.000 0.000 0.500
In2 In 0.000 0.500 0.250

No. 5
# PBE K3LiIn, relaxed
# V in A^3/atom: 64.1
# Calculated total energy in eV per atom: -1.3187
# Relative energy among the computed polymorphs in meV/atom: 0
data_K3LiIn
_chemical_formula_sum 'K3 Li1 In1'
_cell_length_a 6.843
_cell_length_b 6.843
_cell_length_c 6.843
_cell_angle_alpha 90.00
_cell_angle_beta 90.00
_cell_angle_gamma 90.00
_space_group_name_H-M_alt 'P m -3 m'
_space_group_IT_number 221
_space_group_name_Hall '-P 4 2 3'
loop_
_atom_site_label
_atom_site_type_symbol
_atom_site_fract_x
_atom_site_fract_y
_atom_site_fract_z
K1 K 0.000 0.000 0.500
Li1 Li 0.500 0.500 0.500
In1 In 0.000 0.000 0.000

No. 6
# PBE K2LiIn, relaxed
# V in A^3/atom: 39.9
# Calculated total energy in eV per atom: -1.5964
data_K2LiIn
_chemical_formula_sum 'K2 Li1 In1'
_cell_length_a 4.453
_cell_length_b 4.940
_cell_length_c 7.248
_cell_angle_alpha 90.00
_cell_angle_beta 90.17
_cell_angle_gamma 90.00
_space_group_name_H-M_alt 'P 1 2/m 1'
_space_group_IT_number 10
_space_group_name_Hall '-P 2y'
loop_
_atom_site_label
_atom_site_type_symbol
_atom_site_fract_x
_atom_site_fract_y
_atom_site_fract_z
K1 K 0.001 0.000 0.258
Li1 Li 0.500 0.500 0.000
In1 In 0.500 0.500 0.500

No. 7
# PBE K2LiIn, relaxed
# V in A^3/atom: 42.9
# Calculated total energy in eV per atom: -1.6754
data_K2LiIn
_chemical_formula_sum 'K4 Li2 In2'
_cell_length_a 4.830
_cell_length_b 5.262
_cell_length_c 13.503
_cell_angle_alpha 90.00
_cell_angle_beta 90.00
_cell_angle_gamma 90.00
_space_group_name_H-M_alt 'A m m 2'
_space_group_IT_number 38
_space_group_name_Hall 'A 2 -2'
loop_
_atom_site_label
_atom_site_type_symbol
_atom_site_fract_x
_atom_site_fract_y
_atom_site_fract_z
K1 K 0.000 0.000 0.000
K2 K 0.500 0.000 0.299
Li1 Li 0.000 0.000 0.699
In1 In 0.500 0.000 0.588

No. 8
# PBE KLiIn2, relaxed
# V in A^3/atom: 30.2
# Calculated total energy in eV per atom: -2.2043
# Relative energy among the computed polymorphs in meV/atom: 89
data_KLiIn2
_chemical_formula_sum 'K2 Li2 In4'
_cell_length_a 9.848
_cell_length_b 3.355
_cell_length_c 7.340
_cell_angle_alpha 90.00
_cell_angle_beta 95.77
_cell_angle_gamma 90.00
_space_group_name_H-M_alt 'C 1 m 1'
_space_group_IT_number 8
_space_group_name_Hall 'C -2y'
loop_
_atom_site_label
_atom_site_type_symbol
_atom_site_fract_x
_atom_site_fract_y
_atom_site_fract_z
K1 K 0.000 0.000 0.000
Li1 Li 0.223 0.000 0.650
In1 In 0.255 0.500 0.312
In2 In 0.495 0.000 0.527

No. 9
# PBE KLiIn, relaxed
# V in A^3/atom: 35.9
# Calculated total energy in eV per atom: -1.7364
# Relative energy among the computed polymorphs in meV/atom: 318
data_KLiIn
_chemical_formula_sum 'K4 Li4 In4'
_cell_length_a 7.550
_cell_length_b 7.550
_cell_length_c 7.550
_cell_angle_alpha 90.00
_cell_angle_beta 90.00
_cell_angle_gamma 90.00
_space_group_name_H-M_alt 'F -4 3 m'
_space_group_IT_number 216
_space_group_name_Hall 'F -4 2 3'
loop_
_atom_site_label
_atom_site_type_symbol
_atom_site_fract_x
_atom_site_fract_y
_atom_site_fract_z
K1 K 0.000 0.000 0.000
Li1 Li 0.250 0.250 0.250
In1 In 0.000 0.000 0.500

No. 10
# PBE K3LiIn4, relaxed
# V in A^3/atom: 37.6
# Calculated total energy in eV per atom: -2.0656
data_K3LiIn4
_chemical_formula_sum 'K6 Li2 In8'
_cell_length_a 6.378
_cell_length_b 13.829
_cell_length_c 6.819
_cell_angle_alpha 90.00
_cell_angle_beta 90.00
_cell_angle_gamma 90.00
_space_group_name_H-M_alt 'P m m n'
_space_group_IT_number 59
loop_
_space_group_symop_operation_xyz
'x,y,z'
'-x,-y,-z'
'-x+1/2,-y+1/2,z'
'x+1/2,y+1/2,-z'
'x+1/2,-y,-z'
'-x+1/2,y,z'
'-x,y+1/2,-z'
'x,-y+1/2,z'
loop_
_atom_site_label
_atom_site_type_symbol
_atom_site_fract_x
_atom_site_fract_y
_atom_site_fract_z
K1 K 0.250 0.003 0.189
K2 K 0.250 0.750 0.540
Li1 Li 0.250 0.250 0.310
In1 In 0.018 0.750 0.034
In2 In 0.250 0.131 0.669

No. 11
# PBE KLiIn, relaxed
# V in A^3/atom: 38.3
# Calculated total energy in eV per atom: -2.0304
# Relative energy among the computed polymorphs in meV/atom: 24
data_KLiIn
_chemical_formula_sum 'K4 Li4 In4'
_cell_length_a 8.279
_cell_length_b 4.806
_cell_length_c 11.889
_cell_angle_alpha 90.00
_cell_angle_beta 103.81
_cell_angle_gamma 90.00
_space_group_name_H-M_alt 'C 1 m 1'
_space_group_IT_number 8
_space_group_name_Hall 'C -2y'
loop_
_atom_site_label
_atom_site_type_symbol
_atom_site_fract_x
_atom_site_fract_y
_atom_site_fract_z
K1 K 0.000 0.000 0.000
K2 K 0.223 0.000 0.658
Li1 Li 0.315 0.500 0.439
Li2 Li 0.436 0.000 0.302
In1 In 0.112 0.000 0.332
In2 In 0.234 0.500 0.200

No. 12
# PBE KLiIn2, relaxed
# V in A^3/atom: 27.6
# Calculated total energy in eV per atom: -2.2577
# Relative energy among the computed polymorphs in meV/atom: 35
data_KLiIn2
_chemical_formula_sum 'K1 Li1 In2'
_cell_length_a 3.383
_cell_length_b 3.828
_cell_length_c 8.520
_cell_angle_alpha 90.00
_cell_angle_beta 90.10
_cell_angle_gamma 90.00
_space_group_name_H-M_alt 'P 1 2/m 1'
_space_group_IT_number 10
_space_group_name_Hall '-P 2y'
loop_
_atom_site_label
_atom_site_type_symbol
_atom_site_fract_x
_atom_site_fract_y
_atom_site_fract_z
K1 K 0.000 0.000 0.000
Li1 Li 0.000 0.000 0.500
In1 In 0.500 0.500 0.318

No. 13
# PBE KLiIn, relaxed
# V in A^3/atom: 33.2
# Calculated total energy in eV per atom: -2.0306
# Relative energy among the computed polymorphs in meV/atom: 24
data_KLiIn
_chemical_formula_sum 'K2 Li2 In2'
_cell_length_a 4.009
_cell_length_b 4.036
_cell_length_c 12.453
_cell_angle_alpha 90.24
_cell_angle_beta 99.07
_cell_angle_gamma 90.00
_space_group_name_H-M_alt 'P -1'
_space_group_IT_number 2
_space_group_name_Hall '-P 1'
loop_
_atom_site_label
_atom_site_type_symbol
_atom_site_fract_x
_atom_site_fract_y
_atom_site_fract_z
K1 K 0.164 0.256 0.337
Li1 Li 0.036 0.251 0.075
In1 In 0.444 0.248 0.885

No. 14
# PBE KLiIn, relaxed
# V in A^3/atom: 37.6
# Calculated total energy in eV per atom: -2.0293
# Relative energy among the computed polymorphs in meV/atom: 25
data_KLiIn
_chemical_formula_sum 'K4 Li4 In4'
_cell_length_a 8.332
_cell_length_b 4.815
_cell_length_c 11.600
_cell_angle_alpha 90.00
_cell_angle_beta 104.07
_cell_angle_gamma 90.00
_space_group_name_H-M_alt 'C 1 m 1'
_space_group_IT_number 8
_space_group_name_Hall 'C -2y'
loop_
_atom_site_label
_atom_site_type_symbol
_atom_site_fract_x
_atom_site_fract_y
_atom_site_fract_z
K1 K 0.000 0.000 0.000
K2 K 0.053 0.500 0.660
Li1 Li 0.238 0.500 0.217
Li2 Li 0.443 0.000 0.328
In1 In 0.113 0.000 0.340
In2 In 0.321 0.500 0.462

Summary of spin magnetization in μB per formula unit
3.691 0.000 0.000 0.000 0.000 0.000 0.000 0.000 0.000 0.000 0.000 0.000 0.000 0.000
(order as listed above)